Density functional theory data (PBE) for a relaxed structure of Re2TcW.

**ΔE to the lowest computed polymorph**: 0.038 eV per atom

Unit cell a=2.7303 b=4.3288 c=5.3147 alpha=90.00 beta=103.02 gamma=90.00
Last column: nearest neighbours and their distance in Å.
Space group Pm (No. 6)
Asymmetric unit:
Re 0.0000 0.0000 0.0000  2 W 2.69-2.71, 6 Re 2.73-2.98, 4 Tc 2.81-2.94
Re 0.3061 0.5000 0.7525  2 Tc 2.62-2.84, 2 W 2.65, 4 Re 2.73-2.76
Tc 0.6617 0.5000 0.2526  4 Re 2.62-2.84, 2 W 2.63, 2 Tc 2.73
W 0.4875 0.0000 0.4994  2 Tc 2.63, 4 Re 2.65-2.71, 2 W 2.73


Density functional theory data (PBE) for a relaxed structure of Re2TcW.

**ΔE to the lowest computed polymorph**: 0.042 eV per atom

Unit cell a=2.7707 b=2.7707 c=27.5750 alpha=90.00 beta=90.00 gamma=120.00
Last column: nearest neighbours and their distance in Å.
Space group R3m (No. 160, hexagonal axes)
Asymmetric unit:
Re 0.0000 0.0000 0.0000  3 Tc 2.75, 9 Re 2.76-2.77
Re 0.0000 0.0000 0.2519  9 Re 2.76-2.77, 3 W 2.86
Tc 0.0000 0.0000 0.7479  3 Re 2.75, 6 Tc 2.77, 3 W 2.83
W 0.0000 0.0000 0.4994  6 W 2.77, 3 Tc 2.83, 3 Re 2.86


Density functional theory data (PBE) for a relaxed structure of Re6Tc8W.

Unit cell a=9.5235 b=8.8230 c=5.5336 alpha=90.00 beta=90.07 gamma=90.00
Last column: nearest neighbours and their distance in Å.
Space group Cm (No. 8)
Asymmetric unit:
Re 0.0000 0.0000 0.0000  3 Re 2.67-2.69, 7 Tc 2.71-2.87, 1 W 2.76
Re 0.1638 0.2542 0.4885  7 Tc 2.67-2.86, 3 Re 2.73-2.78, 1 W 2.76
Re 0.2447 0.0000 0.2433  3 Re 2.69-2.73, 7 Tc 2.70-2.79, 2 W 2.76-2.78
Re 0.4150 0.2610 0.7442  8 Tc 2.65-2.82, 3 Re 2.67-2.78, 1 W 2.80
Tc 0.0008 0.5000 0.4896  5 Tc 2.65-2.79, 5 Re 2.67-2.82, 1 W 2.78
Tc 0.1635 0.2610 0.0048  4 Tc 2.65-2.78, 6 Re 2.68-2.86, 1 W 2.84
Tc 0.2371 0.5000 0.7444  5 Tc 2.65-2.84, 5 Re 2.68-2.87
Tc 0.4065 0.2506 0.2432  5 Tc 2.66-2.78, 6 Re 2.68-2.80
Tc 0.4953 0.0000 0.9946  7 Tc 2.65-2.79, 1 W 2.74, 3 Re 2.76-2.79
Tc 0.4959 0.5000 0.4889  7 Re 2.65-2.83, 3 Tc 2.72-2.84, 1 W 2.78
W 0.2481 0.0000 0.7419  5 Tc 2.74-2.84, 7 Re 2.76-2.80


| no. | DFT formation energy (eV per atom) |
| --- | --- |
| 1 | 0.15 |
| 2 | 0.16 |
| 3 | 0.23 |